Compound: LaMgNF2
Source: Alexandria
Functional: PBE
Structure: optimized geometry

Unit cell a=4.6017 b=4.6017 c=4.8301 alpha=90.00 beta=90.00 gamma=90.00
Atoms (fractional coordinates):
N (0.0000, 0.0000, 0.5000)
Mg (0.5000, 0.5000, 0.5000)
F (0.0000, 0.5000, 0.0000)
F (0.5000, 0.0000, 0.0000)
La (0.0000, 0.0000, 0.0000)

Values from the calculation:
- Space-group type: No. 123
- Raw formation energy: -1.729 eV/atom
- Energy relative to the lowest polymorph listed for this composition: 778.5 meV/atom
- N(E_F): 1.1 states/eV per cell

Compound: NaLaMgF6
Source: Alexandria
Functional: PBE
Structure: optimized geometry

Unit cell a=5.8797 b=5.8797 c=9.0787 alpha=90.00 beta=90.00 gamma=120.00
Atoms (fractional coordinates):
Na (0.0000, 0.0000, 0.0000)
Na (0.0000, 0.0000, 0.5000)
La (0.3333, 0.6667, 0.2500)
La (0.6667, 0.3333, 0.7500)
Mg (0.6667, 0.3333, 0.2500)
Mg (0.3333, 0.6667, 0.7500)
F (0.6673, 0.6255, 0.1325)
F (0.9581, 0.3327, 0.1325)
F (0.3327, 0.9581, 0.6325)
F (0.0419, 0.6673, 0.8675)
F (0.3745, 0.3327, 0.3675)
F (0.9581, 0.6255, 0.3675)
F (0.6255, 0.9581, 0.8675)
F (0.6673, 0.0419, 0.3675)
F (0.0419, 0.3745, 0.6325)
F (0.3745, 0.0419, 0.1325)
F (0.6255, 0.6673, 0.6325)
F (0.3327, 0.3745, 0.8675)

Values from the calculation:
- Space-group type: No. 163
- Raw formation energy: -3.567 eV/atom
- N(E_F): 0.0 states/eV per cell

Compound: NaLaMg2F
Source: Alexandria
Functional: PBE
Structure: optimized geometry

Unit cell a=5.0890 b=5.0656 c=5.0890 alpha=90.00 beta=90.00 gamma=90.00
Atoms (fractional coordinates):
Na (0.5000, 0.5000, 0.5000)
Mg (0.0000, 0.0000, 0.5000)
Mg (0.5000, 0.0000, 0.0000)
F (0.0000, 0.0000, 0.0000)
La (0.0000, 0.5000, 0.0000)

Values from the calculation:
- Space-group type: No. 123
- Raw formation energy: -0.735 eV/atom
- N(E_F): 5.0 states/eV per cell

> Which formula does entry 1 have?

LaMgNF2